No. 1
This record from OQMD via LeMat-Bulk describes a relaxed LaSmI2BrN crystal. The functional is PBE.

Properties
E in eV per atom: -5.41
Total magnetic moment in μB per formula unit: 0.0
Excess energy over the best structure of this formula in the dataset in meV per atom: 42.0

Cell: 18.7958 4.1001 12.0391 Å, 90.00 122.53 90.00°
Closest atoms and distances in Å follow each position.
Space group C2/m (No. 12)
Unique sites:
La1 0.0786 0.0000 0.4596 [4 per cell]  2 N 2.36-2.38
Sm1 0.1296 0.5000 0.7772 [4 per cell]  2 N 2.44
I1 0.0447 0.5000 0.2279 [4 per cell]  2 La 3.24, 1 Sm 3.24
I2 0.1655 0.0000 0.0166 [4 per cell]  3 Sm 3.27-3.30, 1 Br 3.66
Br1 0.2146 0.5000 0.6228 [4 per cell]  2 La 3.03, 1 Sm 3.03
N1 0.0698 0.0000 0.6494 [4 per cell]  2 La 2.36-2.38, 2 Sm 2.44


No. 2
This record from OQMD via LeMat-Bulk describes a relaxed TmSiPt crystal. The functional is PBE.

Properties
E in eV per atom: -6.30
Total magnetic moment in μB per formula unit: 0.0

Cell: 5.6074 4.2237 10.0304 Å, 90.00 90.00 90.00°
Closest atoms and distances in Å follow each position.
Space group Pnma (No. 62)
Unique sites:
Tm1 0.1362 0.2500 0.1296 [4 per cell]  4 Pt 2.85-3.04, 2 Si 2.97
Si1 0.1261 0.7500 0.3376 [4 per cell]  3 Pt 2.39-2.64
Pt1 0.1482 0.2500 0.4482 [4 per cell]  3 Si 2.39-2.64


Question: What is the E in the second record?
Answer: -6.30 eV per atom


Question: Which formula does entry 1 have?
Answer: LaSmI2BrN


Question: total magnetic moment of number 2 (TmSiPt)?
Answer: 0.0 μB per formula unit